1.
An optimized crystal structure of Li2TcAg. Source: Alexandria, functional PBE-GGA.

Cell and atoms, written as POSCAR:
```
Li2TcAg
1.0
2.637 -0.025 0.000
-0.773 2.522 0.000
0.000 0.000 9.134
Li Tc Ag
2 1 1
Cartesian
0.000 0.000 4.510
0.000 0.000 0.057
0.932 1.248 2.283
0.932 1.248 6.850
```

Properties
**Excess energy over the best structure of this formula in the dataset**: 0.02 eV per formula unit
**Final energy**: -16.6 eV/f.u.

2.
An optimized crystal structure of LiCrAu6. Source: Alexandria, functional PBE-GGA.

Cell and atoms, written as POSCAR:
```
LiCrAu6
1.0
4.102 0.000 0.000
0.000 4.102 0.000
0.000 0.000 8.171
Au Cr Li
6 1 1
Cartesian
0.000 2.051 2.059
0.000 2.051 6.112
2.051 0.000 6.112
2.051 0.000 2.059
2.051 2.051 4.085
2.051 2.051 0.000
0.000 0.000 0.000
0.000 0.000 4.085
```

Properties
**Final energy**: -32.3 eV/f.u.

3.
An optimized crystal structure of TbSm2Sn3. Source: Alexandria, functional PBE-GGA.

Cell and atoms, written as POSCAR:
```
TbSm2Sn3
1.0
4.444 0.000 0.000
0.000 6.298 0.000
-2.222 -3.149 6.695
Sn Tb Sm
3 1 2
Cartesian
0.000 0.000 0.000
0.000 0.000 4.500
2.222 3.149 2.195
0.000 3.149 0.000
0.000 3.149 4.446
2.222 0.000 2.249
```

Properties
**Final energy**: -29.3 eV/f.u.

4.
An optimized crystal structure of CaPaTl2O6. Source: Alexandria, functional PBE-GGA.

Cell and atoms, written as POSCAR:
```
CaPaTl2O6
1.0
-0.209 -2.379 -5.455
5.005 -0.342 3.208
-3.137 -2.810 4.594
Tl O Ca Pa
2 6 1 1
Cartesian
2.734 -2.594 0.977
-1.257 -3.605 1.570
-1.226 -2.213 3.450
0.834 -4.185 0.697
1.239 -0.986 1.456
2.925 -2.804 -1.253
2.075 -3.500 3.205
-0.273 -1.709 -1.353
0.778 -3.884 -1.636
1.704 -5.485 2.276
```

Properties
**Formation energy from raw total energies**: -2.088 eV per atom
**Final energy**: -66.9 eV/f.u.